DFT (GGA-PBEsol) results for LiMgTcH2 after structural relaxation.

## Properties
The density is 4.0 g cm⁻³. As for the symmetry: P4/mmm (123). The final energy comes out at -19.1 eV for the cell shown.

```
LiMgTcH2
1.0
3.5238 0.0000 0.0000
0.0000 3.5238 0.0000
0.0000 0.0000 4.4058
Li Mg Tc H
1 1 1 2
direct
0.0000 0.0000 0.0000
0.5000 0.5000 0.0000
0.0000 0.0000 0.5000
0.0000 0.5000 0.5000
0.5000 0.0000 0.5000
```